Entry 1:
## ZrAlSe2 (PBE)

Data for a geometry-optimized ZrAlSe2 structure.

Output
Formation energy (no corrections): -2.21 eV per formula unit
Total magnetization: 0.00 μB per cell
Uncorrected energy: -21.47 eV/f.u.
N(E_F): 5.02 states/eV/cell

Structure (CIF):
```
data_ZrAlSe2
_chemical_formula_sum 'Zr2 Al2 Se4'
_symmetry_space_group_name_H-M 'I m m 2'
_symmetry_Int_Tables_number 44
_symmetry_space_group_name_Hall 'I 2 -2'
_cell_length_a 3.4028
_cell_length_b 4.6803
_cell_length_c 9.8003
_cell_angle_alpha 90.00
_cell_angle_beta 90.00
_cell_angle_gamma 90.00
loop_
_atom_site_label
_atom_site_fract_x
_atom_site_fract_y
_atom_site_fract_z
Zr1 0.0000 0.0000 0.0000
Al1 0.0000 0.5000 0.7660
Se1 0.0000 0.0000 0.4828
Se2 0.0000 0.5000 0.2671
```

***

Entry 2:
## RbSmTl2I6 (PBE)

Data for a geometry-optimized RbSmTl2I6 structure.

Output
Formation energy (no corrections): -11.30 eV per formula unit
Total magnetization: 0.00 μB per cell
Uncorrected energy: -31.02 eV/f.u.
N(E_F): 0.00 states/eV/cell

Structure (CIF):
```
data_RbSmTl2I6
_chemical_formula_sum 'Rb3 Sm3 Tl6 I18'
_symmetry_space_group_name_H-M 'R 3'
_symmetry_Int_Tables_number 146
_symmetry_space_group_name_Hall 'R 3'
_cell_length_a 8.7402
_cell_length_b 8.7402
_cell_length_c 23.1275
_cell_angle_alpha 90.00
_cell_angle_beta 90.00
_cell_angle_gamma 120.00
loop_
_atom_site_label
_atom_site_fract_x
_atom_site_fract_y
_atom_site_fract_z
Rb1 0.0000 0.0000 0.0000
Sm1 0.0000 0.0000 0.4892
Tl1 0.0000 0.0000 0.2941
Tl2 0.0000 0.0000 0.8059
I1 0.0112 0.7261 0.4048
I2 0.0236 0.3839 0.2289
```

***

Entry 3:
## ScHgP2 (PBE)

Data for a geometry-optimized ScHgP2 structure.

Output
Total magnetization: 0.00 μB per cell
ΔE_f: -0.401 eV per atom
Uncorrected energy: -19.06 eV/f.u.
N(E_F): 1.85 states/eV/cell

Structure (CIF):
```
data_ScHgP2
_chemical_formula_sum 'Sc1 Hg1 P2'
_symmetry_space_group_name_H-M 'P 1 m 1'
_symmetry_Int_Tables_number 6
_symmetry_space_group_name_Hall 'P -2y'
_cell_length_a 3.8291
_cell_length_b 5.4002
_cell_length_c 3.8555
_cell_angle_alpha 90.00
_cell_angle_beta 90.05
_cell_angle_gamma 90.00
loop_
_atom_site_label
_atom_site_fract_x
_atom_site_fract_y
_atom_site_fract_z
Sc1 0.0000 0.0000 0.0000
Hg1 0.5105 0.5000 0.5773
P1 0.0097 0.5000 0.0717
P2 0.5002 0.0000 0.5021
```

***

Entry 4:
## Pu3TlAu (PBE)

Data for a geometry-optimized Pu3TlAu structure.

Output
Total magnetization: 53.04 μB per cell
ΔE_f: -0.057 eV per atom
Uncorrected energy: -48.92 eV/f.u.
N(E_F): 63.74 states/eV/cell

Structure (CIF):
```
data_Pu3TlAu
_chemical_formula_sum 'Pu9 Tl3 Au3'
_symmetry_space_group_name_H-M 'P m -3 m'
_symmetry_Int_Tables_number 221
_symmetry_space_group_name_Hall '-P 4 2 3'
_cell_length_a 7.3643
_cell_length_b 7.3643
_cell_length_c 7.3643
_cell_angle_alpha 90.00
_cell_angle_beta 90.00
_cell_angle_gamma 90.00
loop_
_atom_site_label
_atom_site_fract_x
_atom_site_fract_y
_atom_site_fract_z
Pu1 0.0000 0.0000 0.0000
Pu2 0.2700 0.2700 0.2700
Tl1 0.0000 0.0000 0.5000
Au1 0.0000 0.5000 0.5000
```

***

Entry 5:
## LaSBr2F (PBE)

Data for a geometry-optimized LaSBr2F structure.

Output
Energy above the most stable polymorph in this dataset: 22 meV/atom
Formation energy (no corrections): -9.51 eV per formula unit
Total magnetization: 0.00 μB per cell
Uncorrected energy: -23.78 eV/f.u.
N(E_F): 0.00 states/eV/cell

Structure (CIF):
```
data_LaSBr2F
_chemical_formula_sum 'La2 S2 Br4 F2'
_symmetry_space_group_name_H-M 'C 1 m 1'
_symmetry_Int_Tables_number 8
_symmetry_space_group_name_Hall 'C -2y'
_cell_length_a 11.3401
_cell_length_b 4.0248
_cell_length_c 7.3138
_cell_angle_alpha 90.00
_cell_angle_beta 118.69
_cell_angle_gamma 90.00
loop_
_atom_site_label
_atom_site_fract_x
_atom_site_fract_y
_atom_site_fract_z
La1 0.0000 0.0000 0.0000
S1 0.4257 0.0000 0.6642
Br1 0.1985 0.0000 0.5143
Br2 0.2116 0.5000 0.0062
F1 0.4728 0.0000 0.1337
```

***

Entry 6:
## Si3HIr (PBE)

Data for a geometry-optimized Si3HIr structure.

Output
Energy above the most stable polymorph in this dataset: 0 meV/atom
Total magnetization: 0.00 μB per cell
Uncorrected energy: -26.34 eV/f.u.
N(E_F): 1.26 states/eV/cell

Structure (CIF):
```
data_Si3HIr
_chemical_formula_sum 'Si3 H1 Ir1'
_symmetry_space_group_name_H-M 'P m -3 m'
_symmetry_Int_Tables_number 221
_symmetry_space_group_name_Hall '-P 4 2 3'
_cell_length_a 3.8952
_cell_length_b 3.8952
_cell_length_c 3.8952
_cell_angle_alpha 90.00
_cell_angle_beta 90.00
_cell_angle_gamma 90.00
loop_
_atom_site_label
_atom_site_fract_x
_atom_site_fract_y
_atom_site_fract_z
Si1 0.0000 0.0000 0.5000
H1 0.0000 0.0000 0.0000
Ir1 0.5000 0.5000 0.5000
```

***

Entry 7:
## UCl6 (PBE)

Data for a geometry-optimized UCl6 structure.

Output
Formation energy (no corrections): -10.48 eV per formula unit
Total magnetization: 0.00 μB per cell
Uncorrected energy: -32.85 eV/f.u.

Structure (CIF):
```
data_UCl6
_chemical_formula_sum 'U4 Cl24'
_symmetry_space_group_name_H-M 'P n m a'
_symmetry_Int_Tables_number 62
_symmetry_space_group_name_Hall '-P 2ac 2n'
_cell_length_a 13.1703
_cell_length_b 11.8906
_cell_length_c 6.8590
_cell_angle_alpha 90.00
_cell_angle_beta 90.00
_cell_angle_gamma 90.00
loop_
_atom_site_label
_atom_site_fract_x
_atom_site_fract_y
_atom_site_fract_z
U1 0.1286 0.2500 0.0927
Cl1 0.0106 0.2500 0.8128
Cl2 0.0256 0.1032 0.2532
Cl3 0.2320 0.1032 0.9329
Cl4 0.2464 0.2500 0.3727
```

***

Entry 8:
## Ac5La4Pm2 (PBE)

Data for a geometry-optimized Ac5La4Pm2 structure.

Output
Total magnetization: 0.00 μB per cell
ΔE_f: 0.136 eV per atom
Uncorrected energy: -48.26 eV/f.u.
N(E_F): 20.18 states/eV/cell

Structure (CIF):
```
data_Ac5La4Pm2
_chemical_formula_sum 'Ac5 La4 Pm2'
_symmetry_space_group_name_H-M 'P 1 2/m 1'
_symmetry_Int_Tables_number 10
_symmetry_space_group_name_Hall '-P 2y'
_cell_length_a 9.4866
_cell_length_b 3.7282
_cell_length_c 12.7127
_cell_angle_alpha 90.00
_cell_angle_beta 91.59
_cell_angle_gamma 90.00
loop_
_atom_site_label
_atom_site_fract_x
_atom_site_fract_y
_atom_site_fract_z
Ac1 0.0000 0.0000 0.0000
Ac2 0.1960 0.0000 0.5298
Ac3 0.2854 0.0000 0.8187
La1 0.0748 0.5000 0.2690
La2 0.4635 0.5000 0.3554
Pm1 0.3507 0.0000 0.1146
```

***

Entry 9:
## SiNi2W (PBE)

Data for a geometry-optimized SiNi2W structure.

Output
Formation energy (no corrections): 0.17 eV per formula unit
Total magnetization: 0.00 μB per cell
Uncorrected energy: -29.77 eV/f.u.
N(E_F): 14.96 states/eV/cell

Structure (CIF):
```
data_SiNi2W
_chemical_formula_sum 'Si3 Ni6 W3'
_symmetry_space_group_name_H-M 'R 3 m'
_symmetry_Int_Tables_number 160
_symmetry_space_group_name_Hall 'R 3 -2"'
_cell_length_a 2.7364
_cell_length_b 2.7364
_cell_length_c 23.9555
_cell_angle_alpha 90.00
_cell_angle_beta 90.00
_cell_angle_gamma 120.00
loop_
_atom_site_label
_atom_site_fract_x
_atom_site_fract_y
_atom_site_fract_z
Si1 0.0000 0.0000 0.0000
Ni1 0.0000 0.0000 0.2607
Ni2 0.0000 0.0000 0.5104
W1 0.0000 0.0000 0.7572
```

***

Entry 10:
## Pt2SeBr (PBE)

Data for a geometry-optimized Pt2SeBr structure.

Output
Energy above the most stable polymorph in this dataset: 630 meV/atom
Formation energy (no corrections): 1.68 eV per formula unit
Total magnetization: 0.00 μB per cell
Uncorrected energy: -15.56 eV/f.u.
N(E_F): 6.79 states/eV/cell

Structure (CIF):
```
data_Pt2SeBr
_chemical_formula_sum 'Pt4 Se2 Br2'
_symmetry_space_group_name_H-M 'I m m m'
_symmetry_Int_Tables_number 71
_symmetry_space_group_name_Hall '-I 2 2'
_cell_length_a 3.9712
_cell_length_b 6.5839
_cell_length_c 7.8050
_cell_angle_alpha 90.00
_cell_angle_beta 90.00
_cell_angle_gamma 90.00
loop_
_atom_site_label
_atom_site_fract_x
_atom_site_fract_y
_atom_site_fract_z
Pt1 0.0000 0.2123 0.0000
Se1 0.0000 0.5000 0.5000
Br1 0.0000 0.0000 0.5000
```

***

Entry 11:
## Ca4Tl3In (PBE)

Data for a geometry-optimized Ca4Tl3In structure.

Output
Total magnetization: 0.00 μB per cell
ΔE_f: -0.446 eV per atom
Uncorrected energy: -21.41 eV/f.u.
N(E_F): 9.03 states/eV/cell

Structure (CIF):
```
data_Ca4Tl3In
_chemical_formula_sum 'Ca8 Tl6 In2'
_symmetry_space_group_name_H-M 'I 4/m m m'
_symmetry_Int_Tables_number 139
_symmetry_space_group_name_Hall '-I 4 2'
_cell_length_a 5.4601
_cell_length_b 5.4601
_cell_length_c 15.6886
_cell_angle_alpha 90.00
_cell_angle_beta 90.00
_cell_angle_gamma 90.00
loop_
_atom_site_label
_atom_site_fract_x
_atom_site_fract_y
_atom_site_fract_z
Ca1 0.0000 0.5000 0.1250
Tl1 0.0000 0.0000 0.0000
Tl2 0.0000 0.0000 0.2506
In1 0.0000 0.0000 0.5000
```

***

Entry 12:
## TlCu3Ag4Br12 (PBE)

Data for a geometry-optimized TlCu3Ag4Br12 structure.

Output
Formation energy (no corrections): -6.18 eV per formula unit
Total magnetization: 4.88 μB per cell
Uncorrected energy: -52.32 eV/f.u.
N(E_F): 26.24 states/eV/cell

Structure (CIF):
```
data_TlCu3Ag4Br12
_chemical_formula_sum 'Tl2 Cu6 Ag8 Br24'
_symmetry_space_group_name_H-M 'I m -3'
_symmetry_Int_Tables_number 204
_symmetry_space_group_name_Hall '-I 2 2 3'
_cell_length_a 10.3153
_cell_length_b 10.3153
_cell_length_c 10.3153
_cell_angle_alpha 90.00
_cell_angle_beta 90.00
_cell_angle_gamma 90.00
loop_
_atom_site_label
_atom_site_fract_x
_atom_site_fract_y
_atom_site_fract_z
Tl1 0.0000 0.0000 0.0000
Cu1 0.0000 0.0000 0.5000
Ag1 0.2500 0.2500 0.2500
Br1 0.0000 0.3274 0.1648
```